A relaxed DyHg crystal. Source: OQMD, functional PBE.

SG = Pm-3m (221)
ΔE_f = -0.481 eV per atom
M_tot = 0.00 μB per atom
Crystal system = cubic

```
DyHg
1.0
3.700 0.000 0.000
0.000 3.700 0.000
0.000 0.000 3.700
Dy Hg
1 1
direct
0.000 0.000 0.000
0.500 0.500 0.500
```

A relaxed LiCdAsPt crystal. Source: OQMD, functional PBE.

SG = F-43m (216)
M_tot = 0.00 μB per atom
Crystal system = cubic

```
LiCdAsPt
1.0
0.000 3.223 3.223
3.223 0.000 3.223
3.223 3.223 0.000
Li Cd As Pt
1 1 1 1
direct
0.000 0.000 0.000
0.750 0.750 0.750
0.250 0.250 0.250
0.500 0.500 0.500
```

A relaxed IrBr2Cl crystal. Source: OQMD, functional PBE.

SG = C2/m (12)
M_tot = 0.00 μB per atom
Crystal system = monoclinic

```
IrBr2Cl
1.0
3.218 -5.436 0.000
3.218 5.436 0.000
-2.118 0.000 6.208
Ir Br Cl
2 4 2
direct
0.164 0.836 0.000
0.836 0.164 0.000
0.076 0.426 0.777
0.426 0.076 0.777
0.574 0.924 0.223
0.924 0.574 0.223
0.209 0.209 0.209
0.791 0.791 0.791
```

A relaxed Ni7W8 crystal. Source: OQMD, functional PBE.

SG = P4_2/mnm (136)
ΔE_f = 0.257 eV per atom
M_tot = 0.00 μB per atom
Crystal system = tetragonal

```
Ni7W8
1.0
9.159 0.000 0.000
0.000 9.159 0.000
0.000 0.000 5.062
Ni W
14 16
direct
0.000 0.000 0.000
0.037 0.369 0.500
0.103 0.103 0.500
0.131 0.537 0.000
0.369 0.037 0.500
0.397 0.603 0.000
0.463 0.869 0.000
0.500 0.500 0.500
0.537 0.131 0.000
0.603 0.397 0.000
0.631 0.963 0.500
0.869 0.463 0.000
0.897 0.897 0.500
0.963 0.631 0.500
0.066 0.271 0.000
0.179 0.821 0.250
0.179 0.821 0.750
0.229 0.566 0.500
0.271 0.066 0.000
0.321 0.321 0.250
0.321 0.321 0.750
0.434 0.771 0.500
0.566 0.229 0.500
0.679 0.679 0.250
0.679 0.679 0.750
0.729 0.934 0.000
0.771 0.434 0.500
0.821 0.179 0.250
0.821 0.179 0.750
0.934 0.729 0.000
```

A relaxed ReI3 crystal. Source: OQMD, functional PBE.

SG = P2_1/m (11)
M_tot = 0.00 μB per atom
Crystal system = monoclinic

```
ReI3
1.0
9.311 0.000 0.000
0.000 11.444 0.000
-3.421 0.000 9.080
Re I
6 18
direct
0.165 0.141 0.138
0.165 0.359 0.138
0.172 0.250 0.356
0.828 0.750 0.644
0.835 0.641 0.862
0.835 0.859 0.862
0.097 0.750 0.610
0.146 0.250 0.878
0.146 0.590 0.983
0.146 0.910 0.983
0.172 0.009 0.379
0.172 0.491 0.379
0.449 0.250 0.547
0.457 0.091 0.191
0.457 0.409 0.191
0.543 0.591 0.809
0.543 0.909 0.809
0.551 0.750 0.453
0.828 0.509 0.621
0.828 0.991 0.621
0.854 0.090 0.017
0.854 0.410 0.017
0.854 0.750 0.122
0.903 0.250 0.390
```

A relaxed Cs3Cd2F7 crystal. Source: OQMD, functional PBE.

SG = I4/mmm (139)
Crystal system = tetragonal

```
Cs3Cd2F7
1.0
-2.217 2.217 11.594
2.217 -2.217 11.594
2.217 2.217 -11.594
Cs Cd F
3 2 7
direct
0.000 0.000 0.000
0.186 0.186 0.000
0.814 0.814 0.000
0.404 0.404 0.000
0.596 0.596 0.000
0.095 0.595 0.500
0.308 0.308 0.000
0.405 0.905 0.500
0.500 0.500 0.000
0.595 0.095 0.500
0.692 0.692 0.000
0.905 0.405 0.500
```

A relaxed Ta2PdSe2S4 crystal. Source: OQMD, functional PBE.

SG = C2/m (12)
M_tot = 0.00 μB per atom
Crystal system = monoclinic

```
Ta2PdSe2S4
1.0
6.408 -1.658 0.000
6.408 1.658 0.000
-4.726 0.000 9.159
Ta Pd Se S
2 1 2 4
direct
0.180 0.180 0.295
0.820 0.820 0.705
0.500 0.500 0.000
0.494 0.494 0.756
0.506 0.506 0.244
0.170 0.170 0.542
0.294 0.294 0.868
0.706 0.706 0.132
0.830 0.830 0.458
```

A relaxed YErTl2Zn2 crystal. Source: OQMD, functional PBE.

SG = P3m1 (156)
M_tot = 0.00 μB per atom
Crystal system = trigonal

```
YErTl2Zn2
1.0
4.669 0.000 0.000
-2.335 4.043 0.000
0.000 0.000 7.345
Y Er Tl Zn
1 1 2 2
direct
0.000 0.000 0.000
0.000 0.000 0.500
0.333 0.667 0.280
0.667 0.333 0.779
0.333 0.667 0.697
0.667 0.333 0.197
```

| no. | total DFT energy (no corrections) (eV/atom) |
| --- | --- |
| 1 | -2.931 |
| 2 | -3.717 |
| 3 | -3.846 |
| 4 | -9.253 |
| 5 | -4.308 |
| 6 | -3.938 |
| 7 | -6.619 |
| 8 | -3.386 |